# 1
Entry from the Alexandria database: a relaxed structure of HfHBr2 (GGA-PBE).

```
data_HfHBr2
_space_group_name_H-M_alt 'P 1'
_space_group_IT_number 1
_space_group_name_Hall 'P 1'
_cell_length_a 5.966
_cell_length_b 5.966
_cell_length_c 6.429
_cell_angle_alpha 62.36
_cell_angle_beta 62.36
_cell_angle_gamma 90.00
loop_
_atom_site_label
_atom_site_type_symbol
_atom_site_fract_x
_atom_site_fract_y
_atom_site_fract_z
H1 H 0.500 0.500 0.000
H2 H 0.250 0.750 0.500
Hf1 Hf 0.000 0.000 0.000
Hf2 Hf 0.750 0.250 0.500
Br1 Br 0.582 0.125 0.250
Br2 Br 0.168 0.625 0.250
Br3 Br 0.375 0.418 0.750
Br4 Br 0.875 0.832 0.750
```

The total energy is -31.43 eV per cell.

---

# 2
Entry from the Alexandria database: a relaxed structure of HfHBr2 (GGA-PBE).

```
data_HfHBr2
_space_group_name_H-M_alt 'P 1'
_space_group_IT_number 1
_space_group_name_Hall 'P 1'
_cell_length_a 9.410
_cell_length_b 9.410
_cell_length_c 9.410
_cell_angle_alpha 21.06
_cell_angle_beta 21.06
_cell_angle_gamma 21.06
loop_
_atom_site_label
_atom_site_type_symbol
_atom_site_fract_x
_atom_site_fract_y
_atom_site_fract_z
H1 H 0.000 0.000 0.000
Hf1 Hf 0.500 0.500 0.500
Br1 Br 0.098 0.098 0.098
Br2 Br 0.902 0.902 0.902
```

The total energy is -17.42 eV per cell.

---

# 3
Entry from the Alexandria database: a relaxed structure of Hf2HBr (GGA-PBE).

```
data_Hf2HBr
_space_group_name_H-M_alt 'P 1'
_space_group_IT_number 1
_space_group_name_Hall 'P 1'
_cell_length_a 5.483
_cell_length_b 5.483
_cell_length_c 6.312
_cell_angle_alpha 64.25
_cell_angle_beta 64.25
_cell_angle_gamma 90.00
loop_
_atom_site_label
_atom_site_type_symbol
_atom_site_fract_x
_atom_site_fract_y
_atom_site_fract_z
H1 H 0.500 0.500 0.000
H2 H 0.250 0.750 0.500
Hf1 Hf 0.527 0.125 0.250
Hf2 Hf 0.223 0.625 0.250
Hf3 Hf 0.375 0.473 0.750
Hf4 Hf 0.875 0.777 0.750
Br1 Br 0.000 0.000 0.000
Br2 Br 0.750 0.250 0.500
```

The total energy is -49.33 eV per cell.

---

# 4
Entry from the Alexandria database: a relaxed structure of HfHBr2 (GGA-PBE).

```
data_HfHBr2
_space_group_name_H-M_alt 'P 1'
_space_group_IT_number 1
_space_group_name_Hall 'P 1'
_cell_length_a 4.661
_cell_length_b 4.661
_cell_length_c 4.661
_cell_angle_alpha 60.00
_cell_angle_beta 60.00
_cell_angle_gamma 60.00
loop_
_atom_site_label
_atom_site_type_symbol
_atom_site_fract_x
_atom_site_fract_y
_atom_site_fract_z
H1 H 0.000 0.000 0.000
Hf1 Hf 0.500 0.500 0.500
Br1 Br 0.250 0.250 0.250
Br2 Br 0.750 0.750 0.750
```

The total energy is -16.67 eV per cell.

---

# 5
Entry from the Alexandria database: a relaxed structure of HfHBr3 (GGA-PBE).

```
data_HfHBr3
_space_group_name_H-M_alt 'P 1'
_space_group_IT_number 1
_space_group_name_Hall 'P 1'
_cell_length_a 6.415
_cell_length_b 6.415
_cell_length_c 8.906
_cell_angle_alpha 96.38
_cell_angle_beta 105.68
_cell_angle_gamma 118.07
loop_
_atom_site_label
_atom_site_type_symbol
_atom_site_fract_x
_atom_site_fract_y
_atom_site_fract_z
Hf1 Hf 0.215 0.215 0.000
Hf2 Hf 0.785 0.785 0.000
H1 H 0.743 0.243 0.500
H2 H 0.257 0.757 0.500
Br1 Br 0.265 0.864 0.130
Br2 Br 0.735 0.136 0.870
Br3 Br 0.044 0.203 0.247
Br4 Br 0.956 0.797 0.753
Br5 Br 0.674 0.551 0.225
Br6 Br 0.326 0.449 0.775
```

The total energy is -41.47 eV per cell.

---

# 6
Entry from the Alexandria database: a relaxed structure of Hf2HBr2 (GGA-PBE).

```
data_Hf2HBr2
_space_group_name_H-M_alt 'P 1'
_space_group_IT_number 1
_space_group_name_Hall 'P 1'
_cell_length_a 7.675
_cell_length_b 7.675
_cell_length_c 3.243
_cell_angle_alpha 90.00
_cell_angle_beta 90.00
_cell_angle_gamma 90.00
loop_
_atom_site_label
_atom_site_type_symbol
_atom_site_fract_x
_atom_site_fract_y
_atom_site_fract_z
H1 H 0.000 0.000 0.000
H2 H 0.500 0.500 0.000
Hf1 Hf 0.159 0.659 0.500
Hf2 Hf 0.659 0.841 0.500
Hf3 Hf 0.841 0.341 0.500
Hf4 Hf 0.341 0.159 0.500
Br1 Br 0.360 0.860 0.000
Br2 Br 0.860 0.640 0.000
Br3 Br 0.640 0.140 0.000
Br4 Br 0.140 0.360 0.000
```

The total energy is -47.75 eV per cell.

---

# 7
Entry from the Alexandria database: a relaxed structure of Hf3HBr (GGA-PBE).

```
data_Hf3HBr
_space_group_name_H-M_alt 'P 1'
_space_group_IT_number 1
_space_group_name_Hall 'P 1'
_cell_length_a 4.447
_cell_length_b 4.447
_cell_length_c 4.447
_cell_angle_alpha 90.00
_cell_angle_beta 90.00
_cell_angle_gamma 90.00
loop_
_atom_site_label
_atom_site_type_symbol
_atom_site_fract_x
_atom_site_fract_y
_atom_site_fract_z
H1 H 0.000 0.000 0.000
Hf1 Hf 0.000 0.500 0.000
Hf2 Hf 0.000 0.000 0.500
Hf3 Hf 0.500 0.000 0.000
Br1 Br 0.500 0.500 0.500
```

The total energy is -33.81 eV per cell.

---

# 8
Entry from the Alexandria database: a relaxed structure of HfH2Br4 (GGA-PBE).

```
data_HfH2Br4
_space_group_name_H-M_alt 'P 1'
_space_group_IT_number 1
_space_group_name_Hall 'P 1'
_cell_length_a 4.085
_cell_length_b 7.915
_cell_length_c 7.472
_cell_angle_alpha 121.51
_cell_angle_beta 105.86
_cell_angle_gamma 90.00
loop_
_atom_site_label
_atom_site_type_symbol
_atom_site_fract_x
_atom_site_fract_y
_atom_site_fract_z
Hf1 Hf 0.000 0.000 0.000
H1 H 0.142 0.245 0.283
H2 H 0.858 0.755 0.717
Br1 Br 0.079 0.394 0.158
Br2 Br 0.921 0.606 0.842
Br3 Br 0.366 0.972 0.731
Br4 Br 0.634 0.028 0.269
```

The total energy is -26.82 eV per cell.

---

# 9
Entry from the Alexandria database: a relaxed structure of HfHBr3 (GGA-PBE).

```
data_HfHBr3
_space_group_name_H-M_alt 'P 1'
_space_group_IT_number 1
_space_group_name_Hall 'P 1'
_cell_length_a 8.944
_cell_length_b 8.944
_cell_length_c 8.944
_cell_angle_alpha 123.92
_cell_angle_beta 74.19
_cell_angle_gamma 135.60
loop_
_atom_site_label
_atom_site_type_symbol
_atom_site_fract_x
_atom_site_fract_y
_atom_site_fract_z
Hf1 Hf 0.478 0.018 0.960
Hf2 Hf 0.058 0.518 0.040
H1 H 0.357 0.808 0.049
H2 H 0.759 0.308 0.951
Br1 Br 0.193 0.318 0.842
Br2 Br 0.193 0.851 0.375
Br3 Br 0.476 0.818 0.625
Br4 Br 0.795 0.163 0.132
Br5 Br 0.476 0.351 0.158
Br6 Br 0.031 0.663 0.868
```

The total energy is -47.36 eV per cell.

---

# 10
Entry from the Alexandria database: a relaxed structure of HfH6Br12 (GGA-PBE).

```
data_HfH6Br12
_space_group_name_H-M_alt 'P 1'
_space_group_IT_number 1
_space_group_name_Hall 'P 1'
_cell_length_a 8.975
_cell_length_b 8.975
_cell_length_c 8.975
_cell_angle_alpha 88.70
_cell_angle_beta 88.70
_cell_angle_gamma 88.70
loop_
_atom_site_label
_atom_site_type_symbol
_atom_site_fract_x
_atom_site_fract_y
_atom_site_fract_z
Hf1 Hf 0.000 0.000 0.000
H1 H 0.298 0.315 0.509
H2 H 0.685 0.491 0.702
H3 H 0.491 0.702 0.685
H4 H 0.702 0.685 0.491
H5 H 0.315 0.509 0.298
H6 H 0.509 0.298 0.315
Br1 Br 0.400 0.190 0.538
Br2 Br 0.190 0.538 0.400
Br3 Br 0.538 0.400 0.190
Br4 Br 0.600 0.810 0.462
Br5 Br 0.810 0.462 0.600
Br6 Br 0.462 0.600 0.810
Br7 Br 0.058 0.934 0.725
Br8 Br 0.275 0.942 0.066
Br9 Br 0.066 0.275 0.942
Br10 Br 0.942 0.066 0.275
Br11 Br 0.725 0.058 0.934
Br12 Br 0.934 0.725 0.058
```

The total energy is -58.36 eV per cell.

---

# 11
Entry from the Alexandria database: a relaxed structure of HfHBr3 (GGA-PBE).

```
data_HfHBr3
_space_group_name_H-M_alt 'P 1'
_space_group_IT_number 1
_space_group_name_Hall 'P 1'
_cell_length_a 4.587
_cell_length_b 4.587
_cell_length_c 4.587
_cell_angle_alpha 90.00
_cell_angle_beta 90.00
_cell_angle_gamma 90.00
loop_
_atom_site_label
_atom_site_type_symbol
_atom_site_fract_x
_atom_site_fract_y
_atom_site_fract_z
H1 H 0.000 0.000 0.000
Hf1 Hf 0.500 0.500 0.500
Br1 Br 0.000 0.500 0.000
Br2 Br 0.000 0.000 0.500
Br3 Br 0.500 0.000 0.000
```

The total energy is -16.35 eV per cell.

---

# 12
Entry from the Alexandria database: a relaxed structure of Hf2HBr2 (GGA-PBE).

```
data_Hf2HBr2
_space_group_name_H-M_alt 'P 1'
_space_group_IT_number 1
_space_group_name_Hall 'P 1'
_cell_length_a 4.029
_cell_length_b 4.029
_cell_length_c 8.480
_cell_angle_alpha 76.26
_cell_angle_beta 76.26
_cell_angle_gamma 90.00
loop_
_atom_site_label
_atom_site_type_symbol
_atom_site_fract_x
_atom_site_fract_y
_atom_site_fract_z
H1 H 0.000 0.000 0.000
Hf1 Hf 0.750 0.250 0.500
Hf2 Hf 0.250 0.750 0.500
Br1 Br 0.377 0.377 0.245
Br2 Br 0.623 0.623 0.755
```

The total energy is -25.63 eV per cell.